# 1
This record from the Alexandria database describes HPd3Pt after structural relaxation. The functional is PBE-GGA.

Unit cell a=5.3289 b=9.3602 c=5.4021 alpha=90.00 beta=90.00 gamma=90.00
With the nearest neighbours (Å) after each atom.
Space group Cmcm (No. 63)
Symmetry-distinct sites (fractional):
H  0.0000  0.1366  0.2500 x4  4 Pd 1.80-1.86
Pd  0.0000  0.0000  0.0000 x4  2 H 1.86
Pd  0.2472  0.2355  0.7500 x8  1 H 1.80
Pt  0.0000  0.4867  0.7500 x4  8 Pd 2.69-2.99, 2 Pt 2.71, 2 H 2.90

excess energy over the best structure of this formula in the dataset = 0.117 eV/atom
density = 12.7 g/cm³



# 2
This record from the Alexandria database describes GeMoI2N after structural relaxation. The functional is PBE-GGA.

Unit cell a=5.6306 b=5.6306 c=3.8353 alpha=90.00 beta=90.00 gamma=90.00
With the nearest neighbours (Å) after each atom.
Space group P4/mmm (No. 123)
Symmetry-distinct sites (fractional):
Ge  0.0000  0.0000  0.0000 x1  8 I 3.41
Mo  0.5000  0.5000  0.5000 x1  2 N 1.92
I  0.0000  0.5000  0.5000 x2  2 Mo 2.82
N  0.5000  0.5000  0.0000 x1  2 Mo 1.92

excess energy over the best structure of this formula in the dataset = 0.000 eV/atom
density = 6.0 g/cm³
formation energy (no corrections) = 474 meV/atom